(1)
Here is a geometry-optimized NaGaBiIr structure from OQMD. Energies are from PBE-GGA.

Space group ... F-43m
Size of the total moment ... 0.0 μB/cell
Total energy ... -4.282 eV per atom
Crystal system ... cubic
Excess energy over the best structure of this formula in the dataset ... 0.000 eV per atom

abc: 4.7591 4.7591 4.7591
angles: 60.00 60.00 60.00
Element x y z (fractional)
Bi: 0.5000 0.5000 0.5000
Na: 0.7500 0.7500 0.7500
Ir: 0.2500 0.2500 0.2500
Ga: 0.0000 0.0000 0.0000

=====

(2)
Here is a geometry-optimized NaGaBiIr structure from OQMD. Energies are from PBE-GGA.

Space group ... F-43m
Size of the total moment ... 0.0 μB/cell
Total energy ... -4.020 eV per atom
Crystal system ... cubic
Excess energy over the best structure of this formula in the dataset ... 0.261 eV per atom

abc: 4.8818 4.8818 4.8818
angles: 60.00 60.00 60.00
Element x y z (fractional)
Na: 0.7500 0.7500 0.7500
Ir: 0.5000 0.5000 0.5000
Bi: 0.2500 0.2500 0.2500
Ga: 0.0000 0.0000 0.0000

=====

(3)
Here is a geometry-optimized Nb2GaBiIr2 structure from OQMD. Energies are from PBE-GGA.

Space group ... I-42d
Size of the total moment ... 0.0 μB/cell
Total energy ... -7.853 eV per atom
Crystal system ... tetragonal

abc: 6.2137 6.2137 7.5939
angles: 65.85 65.85 90.00
Element x y z (fractional)
Nb: 0.4934 0.9934 0.0132
Nb: 0.0066 0.5066 0.9868
Nb: 0.7566 0.7566 0.4868
Nb: 0.2434 0.2434 0.5132
Bi: 0.7500 0.2500 0.5000
Bi: 0.5000 0.5000 0.0000
Ga: 0.0000 0.0000 0.0000
Ga: 0.2500 0.7500 0.5000
Ir: 0.1250 0.6402 0.2500
Ir: 0.3598 0.3750 0.7500
Ir: 0.6250 0.1098 0.2500
Ir: 0.8902 0.8750 0.7500

=====

(4)
Here is a geometry-optimized Li4GaBiPt2 structure from OQMD. Energies are from PBE-GGA.

Space group ... P-4m2
Size of the total moment ... 0.0 μB/cell
Total energy ... -3.941 eV per atom
Crystal system ... tetragonal

abc: 4.3837 4.3837 6.5000
angles: 90.00 90.00 90.00
Element x y z (fractional)
Li: 0.0000 0.0000 0.0000
Li: 0.0000 0.5000 0.7844
Li: 0.5000 0.0000 0.2156
Li: 0.5000 0.5000 0.5000
Ga: 0.5000 0.5000 0.0000
Bi: 0.0000 0.0000 0.5000
Pt: 0.0000 0.5000 0.2189
Pt: 0.5000 0.0000 0.7811

=====

(5)
Here is a geometry-optimized LuGaBi structure from OQMD. Energies are from PBE-GGA.

Space group ... F-43m
Size of the total moment ... 0.0 μB/cell
Total energy ... -3.844 eV per atom
Crystal system ... cubic

abc: 5.1250 5.1250 5.1250
angles: 60.00 60.00 60.00
Element x y z (fractional)
Ga: 0.2500 0.2500 0.2500
Bi: 0.0000 0.0000 0.0000
Lu: 0.7500 0.7500 0.7500

=====

(6)
Here is a geometry-optimized Lu2GaBiS6 structure from OQMD. Energies are from PBE-GGA.

Space group ... P2_1/m
Size of the total moment ... 0.0 μB/cell
Total energy ... -5.369 eV per atom
Crystal system ... monoclinic

abc: 11.4149 3.8613 12.6229
angles: 90.00 116.60 90.00
Element x y z (fractional)
S: 0.8468 0.7500 0.9269
S: 0.1532 0.2500 0.0731
S: 0.8444 0.7500 0.4331
S: 0.9597 0.2500 0.7352
S: 0.2633 0.7500 0.8665
S: 0.3585 0.2500 0.3961
S: 0.6415 0.7500 0.6039
S: 0.0403 0.7500 0.2648
S: 0.1556 0.2500 0.5669
S: 0.5078 0.2500 0.7752
S: 0.7367 0.2500 0.1335
S: 0.4922 0.7500 0.2248
Lu: 0.2588 0.7500 0.2260
Lu: 0.9461 0.2500 0.3552
Lu: 0.7412 0.2500 0.7740
Lu: 0.0539 0.7500 0.6448
Bi: 0.4114 0.7500 0.6134
Bi: 0.5886 0.2500 0.3866
Ga: 0.1682 0.2500 0.9015
Ga: 0.8318 0.7500 0.0985

=====

(7)
Here is a geometry-optimized GaBi2Mo structure from OQMD. Energies are from PBE-GGA.

Space group ... F-43m
Size of the total moment ... 2.0 μB/cell
Total energy ... -4.731 eV per atom
Crystal system ... cubic

abc: 5.1097 5.1097 5.1097
angles: 60.00 60.00 60.00
Element x y z (fractional)
Bi: 0.2500 0.2500 0.2500
Bi: 0.0000 0.0000 0.0000
Ga: 0.7500 0.7500 0.7500
Mo: 0.5000 0.5000 0.5000

=====

(8)
Here is a geometry-optimized Ga2BiMo structure from OQMD. Energies are from PBE-GGA.

Space group ... F-43m
Size of the total moment ... 1.7 μB/cell
Total energy ... -4.608 eV per atom
Crystal system ... cubic

abc: 4.8278 4.8278 4.8278
angles: 60.00 60.00 60.00
Element x y z (fractional)
Bi: 0.0000 0.0000 0.0000
Ga: 0.7500 0.7500 0.7500
Ga: 0.5000 0.5000 0.5000
Mo: 0.2500 0.2500 0.2500

=====

(9)
Here is a geometry-optimized GaBiMo4N2 structure from OQMD. Energies are from PBE-GGA.

Space group ... P-6m2
Size of the total moment ... 0.0 μB/cell
Total energy ... -8.327 eV per atom
Crystal system ... hexagonal

abc: 3.2579 3.2579 12.9445
angles: 90.00 90.00 120.00
Element x y z (fractional)
Mo: 0.6667 0.3333 0.8092
Mo: 0.0000 0.0000 0.6542
Mo: 0.6667 0.3333 0.1908
Mo: 0.0000 0.0000 0.3458
N: 0.3333 0.6667 0.2576
N: 0.3333 0.6667 0.7424
Ga: 0.6667 0.3333 0.5000
Bi: 0.0000 0.0000 0.0000

=====

(10)
Here is a geometry-optimized Ta4GaBiN2 structure from OQMD. Energies are from PBE-GGA.

Space group ... P-6m2
Size of the total moment ... 0.0 μB/cell
Total energy ... -9.223 eV per atom
Crystal system ... hexagonal

abc: 3.2091 3.2091 14.0589
angles: 90.00 90.00 120.00
Element x y z (fractional)
Ta: 0.6667 0.3333 0.8105
Ta: 0.0000 0.0000 0.6491
Ta: 0.6667 0.3333 0.1895
Ta: 0.0000 0.0000 0.3509
Ga: 0.6667 0.3333 0.5000
Bi: 0.0000 0.0000 0.0000
N: 0.3333 0.6667 0.2678
N: 0.3333 0.6667 0.7322

=====

(11)
Here is a geometry-optimized GaBiW4N2 structure from OQMD. Energies are from PBE-GGA.

Space group ... P-6m2
Size of the total moment ... 0.0 μB/cell
Total energy ... -8.999 eV per atom
Crystal system ... hexagonal

abc: 2.9292 2.9292 15.6492
angles: 90.00 90.00 120.00
Element x y z (fractional)
N: 0.3333 0.6667 0.2693
N: 0.3333 0.6667 0.7307
W: 0.0000 0.0000 0.6408
W: 0.6667 0.3333 0.1818
W: 0.0000 0.0000 0.3592
W: 0.6667 0.3333 0.8182
Bi: 0.0000 0.0000 0.0000
Ga: 0.6667 0.3333 0.5000

=====

(12)
Here is a geometry-optimized Zr4GaBiN2 structure from OQMD. Energies are from PBE-GGA.

Space group ... P-6m2
Size of the total moment ... 0.0 μB/cell
Total energy ... -8.250 eV per atom
Crystal system ... hexagonal

abc: 3.3355 3.3355 14.3202
angles: 90.00 90.00 120.00
Element x y z (fractional)
Zr: 0.6667 0.3333 0.1715
Zr: 0.0000 0.0000 0.6546
Zr: 0.0000 0.0000 0.3454
Zr: 0.6667 0.3333 0.8285
N: 0.3333 0.6667 0.7399
N: 0.3333 0.6667 0.2601
Ga: 0.6667 0.3333 0.5000
Bi: 0.0000 0.0000 0.0000

=====

(13)
Here is a geometry-optimized Nd5Ga2Bi structure from OQMD. Energies are from PBE-GGA.

Space group ... I4/mcm
Size of the total moment ... 0.1 μB/cell
Total energy ... -4.809 eV per atom
Crystal system ... tetragonal

abc: 8.9422 8.9422 8.9422
angles: 123.36 123.36 84.27
Element x y z (fractional)
Nd: 0.9871 0.7967 0.5000
Nd: 0.7967 0.2967 0.8096
Nd: 0.2967 0.4871 0.5000
Nd: 0.0000 0.0000 0.0000
Nd: 0.0129 0.2033 0.5000
Nd: 0.4871 0.9871 0.1904
Nd: 0.5000 0.5000 0.0000
Nd: 0.5129 0.0129 0.8096
Nd: 0.2033 0.7033 0.1904
Nd: 0.7033 0.5129 0.5000
Ga: 0.8537 0.3537 0.2073
Ga: 0.3537 0.1463 0.5000
Ga: 0.1463 0.6463 0.7927
Ga: 0.6463 0.8537 0.5000
Bi: 0.2500 0.2500 0.0000
Bi: 0.7500 0.7500 0.0000

=====

(14)
Here is a geometry-optimized GaNiBi structure from OQMD. Energies are from PBE-GGA.

Space group ... F-43m
Size of the total moment ... 0.0 μB/cell
Total energy ... -4.288 eV per atom
Crystal system ... cubic

abc: 4.3769 4.3769 4.3769
angles: 60.00 60.00 60.00
Element x y z (fractional)
Ga: 0.7500 0.7500 0.7500
Bi: 0.2500 0.2500 0.2500
Ni: 0.0000 0.0000 0.0000

=====

(15)
Here is a geometry-optimized Ga2NiBi structure from OQMD. Energies are from PBE-GGA.

Space group ... F-43m
Size of the total moment ... 0.0 μB/cell
Total energy ... -3.710 eV per atom
Crystal system ... cubic

abc: 4.7910 4.7910 4.7910
angles: 60.00 60.00 60.00
Element x y z (fractional)
Ga: 0.5000 0.5000 0.5000
Ga: 0.7500 0.7500 0.7500
Ni: 0.0000 0.0000 0.0000
Bi: 0.2500 0.2500 0.2500

=====

(16)
Here is a geometry-optimized Ga4Ni4Bi3 structure from OQMD. Energies are from PBE-GGA.

Space group ... I-43m
Size of the total moment ... 0.0 μB/cell
Total energy ... -4.253 eV per atom
Crystal system ... cubic

abc: 6.4557 6.4557 6.4557
angles: 109.47 109.47 109.47
Element x y z (fractional)
Ga: 0.0000 0.0000 0.6057
Ga: 0.3943 0.3943 0.3943
Ga: 0.6057 0.0000 0.0000
Ga: 0.0000 0.6057 0.0000
Bi: 0.5000 0.0000 0.5000
Bi: 0.0000 0.5000 0.5000
Bi: 0.5000 0.5000 0.0000
Ni: 0.0000 0.0000 0.2426
Ni: 0.0000 0.2426 0.0000
Ni: 0.7574 0.7574 0.7574
Ni: 0.2426 0.0000 0.0000

=====

(17)
Here is a geometry-optimized GaNi2BiS6 structure from OQMD. Energies are from PBE-GGA.

Space group ... P2_1/m
Size of the total moment ... 0.1 μB/cell
Total energy ... -4.619 eV per atom
Crystal system ... monoclinic

abc: 10.5759 3.6281 11.3240
angles: 90.00 117.52 90.00
Element x y z (fractional)
S: 0.1270 0.2500 0.5699
S: 0.2439 0.7500 0.8503
S: 0.3527 0.2500 0.3919
S: 0.7561 0.2500 0.1497
S: 0.0597 0.7500 0.2934
S: 0.4429 0.7500 0.1932
S: 0.8672 0.7500 0.8976
S: 0.6473 0.7500 0.6081
S: 0.9403 0.2500 0.7066
S: 0.8730 0.7500 0.4301
S: 0.1328 0.2500 0.1024
S: 0.5571 0.2500 0.8068
Bi: 0.5940 0.2500 0.3730
Bi: 0.4060 0.7500 0.6270
Ga: 0.1501 0.2500 0.9100
Ga: 0.8499 0.7500 0.0900
Ni: 0.2459 0.7500 0.2391
Ni: 0.0435 0.7500 0.6428
Ni: 0.7541 0.2500 0.7609
Ni: 0.9565 0.2500 0.3572

=====

(18)
Here is a geometry-optimized GaBiOs structure from OQMD. Energies are from PBE-GGA.

Space group ... F-43m
Size of the total moment ... 0.0 μB/cell
Total energy ... -5.667 eV per atom
Crystal system ... cubic
Excess energy over the best structure of this formula in the dataset ... 0.000 eV per atom

abc: 4.5029 4.5029 4.5029
angles: 60.00 60.00 60.00
Element x y z (fractional)
Bi: 0.2500 0.2500 0.2500
Ga: 0.7500 0.7500 0.7500
Os: 0.0000 0.0000 0.0000

=====

(19)
Here is a geometry-optimized PmGaBi structure from OQMD. Energies are from PBE-GGA.

Space group ... F-43m
Size of the total moment ... 0.0 μB/cell
Total energy ... -4.247 eV per atom
Crystal system ... cubic
Excess energy over the best structure of this formula in the dataset ... 0.000 eV per atom

abc: 5.0377 5.0377 5.0377
angles: 60.00 60.00 60.00
Element x y z (fractional)
Bi: 0.2500 0.2500 0.2500
Pm: 0.7500 0.7500 0.7500
Ga: 0.0000 0.0000 0.0000

=====

(20)
Here is a geometry-optimized PmGaBi structure from OQMD. Energies are from PBE-GGA.

Space group ... F-43m
Size of the total moment ... 0.0 μB/cell
Total energy ... -4.135 eV per atom
Crystal system ... cubic
Excess energy over the best structure of this formula in the dataset ... 0.111 eV per atom

abc: 5.1708 5.1708 5.1708
angles: 60.00 60.00 60.00
Element x y z (fractional)
Bi: 0.2500 0.2500 0.2500
Pm: 0.0000 0.0000 0.0000
Ga: 0.7500 0.7500 0.7500